1.
# CsTiRu3 GGA-PBE optimized geometry
# * magnetization: 0.00 μB per atom
# * volume: 22.376 Å³/atom
# * calculated formation energy: 2.722 eV/atom
# * energy: -4.59 eV per atom
# * energy above the lowest structure with this stoichiometry: 1315 meV per atom
data_CsTiRu3
_chemical_formula_sum 'Cs1 Ti1 Ru3'
_space_group_name_H-M_alt 'P m -3 m'
_space_group_IT_number 221
_space_group_name_Hall '-P 4 2 3'
_cell_length_a 4.819
_cell_length_b 4.819
_cell_length_c 4.819
_cell_angle_alpha 90.00
_cell_angle_beta 90.00
_cell_angle_gamma 90.00
loop_
_atom_site_label
_atom_site_fract_x
_atom_site_fract_y
_atom_site_fract_z
Cs1 0.000 0.000 0.000
Ti1 0.500 0.500 0.500
Ru1 0.000 0.000 0.500



2.
# CsTiRu2 GGA-PBE optimized geometry
# * magnetization: 0.00 μB per atom
# * volume: 18.661 Å³/atom
# * calculated formation energy: 1.248 eV/atom
# * energy: -5.58 eV per atom
# * energy above the lowest structure with this stoichiometry: 111 meV per atom
data_CsTiRu2
_chemical_formula_sum 'Cs4 Ti4 Ru8'
_space_group_name_H-M_alt 'F m -3 m'
_space_group_IT_number 225
_space_group_name_Hall '-F 4 2 3'
_cell_length_a 6.684
_cell_length_b 6.684
_cell_length_c 6.684
_cell_angle_alpha 90.00
_cell_angle_beta 90.00
_cell_angle_gamma 90.00
loop_
_atom_site_label
_atom_site_fract_x
_atom_site_fract_y
_atom_site_fract_z
Cs1 0.000 0.000 0.000
Ti1 0.000 0.000 0.500
Ru1 0.250 0.250 0.250



3.
# CsTl3Ru GGA-PBE optimized geometry
# * magnetization: 0.00 μB per atom
# * volume: 31.892 Å³/atom
# * calculated formation energy: 0.041 eV/atom
# * energy: -3.40 eV per atom
# * energy above the lowest structure with this stoichiometry: 0 meV per atom
data_CsTl3Ru
_chemical_formula_sum 'Cs1 Tl3 Ru1'
_space_group_name_H-M_alt 'P m -3 m'
_space_group_IT_number 221
_space_group_name_Hall '-P 4 2 3'
_cell_length_a 5.423
_cell_length_b 5.423
_cell_length_c 5.423
_cell_angle_alpha 90.00
_cell_angle_beta 90.00
_cell_angle_gamma 90.00
loop_
_atom_site_label
_atom_site_fract_x
_atom_site_fract_y
_atom_site_fract_z
Cs1 0.000 0.000 0.000
Tl1 0.000 0.500 0.500
Ru1 0.500 0.500 0.500



4.
# CsTlRu3 GGA-PBE optimized geometry
# * magnetization: 1.12 μB per atom
# * volume: 28.297 Å³/atom
# * calculated formation energy: 2.049 eV/atom
# * energy: -4.16 eV per atom
# * energy above the lowest structure with this stoichiometry: 0 meV per atom
data_CsTlRu3
_chemical_formula_sum 'Cs1 Tl1 Ru3'
_space_group_name_H-M_alt 'P m -3 m'
_space_group_IT_number 221
_space_group_name_Hall '-P 4 2 3'
_cell_length_a 5.211
_cell_length_b 5.211
_cell_length_c 5.211
_cell_angle_alpha 90.00
_cell_angle_beta 90.00
_cell_angle_gamma 90.00
loop_
_atom_site_label
_atom_site_fract_x
_atom_site_fract_y
_atom_site_fract_z
Cs1 0.000 0.000 0.000
Tl1 0.500 0.500 0.500
Ru1 0.000 0.500 0.500



5.
# CsTlRu2 GGA-PBE optimized geometry
# * magnetization: 0.00 μB per atom
# * volume: 30.013 Å³/atom
# * calculated formation energy: 1.103 eV/atom
# * energy: -4.34 eV per atom
data_CsTlRu2
_chemical_formula_sum 'Cs4 Tl4 Ru8'
_space_group_name_H-M_alt 'I -4 2 d'
_space_group_IT_number 122
_space_group_name_Hall 'I -4 2bw'
_cell_length_a 4.926
_cell_length_b 4.926
_cell_length_c 19.790
_cell_angle_alpha 90.00
_cell_angle_beta 90.00
_cell_angle_gamma 90.00
loop_
_atom_site_label
_atom_site_fract_x
_atom_site_fract_y
_atom_site_fract_z
Cs1 0.000 0.000 0.000
Tl1 0.000 0.000 0.500
Ru1 0.007 0.250 0.625



6.
# CsTl3Ru GGA-PBE optimized geometry
# * magnetization: 0.39 μB per atom
# * volume: 51.861 Å³/atom
# * calculated formation energy: 1.838 eV/atom
# * energy: -1.61 eV per atom
# * energy above the lowest structure with this stoichiometry: 1797 meV per atom
data_CsTl3Ru
_chemical_formula_sum 'Cs1 Tl3 Ru1'
_space_group_name_H-M_alt 'P m -3 m'
_space_group_IT_number 221
_space_group_name_Hall '-P 4 2 3'
_cell_length_a 6.377
_cell_length_b 6.377
_cell_length_c 6.377
_cell_angle_alpha 90.00
_cell_angle_beta 90.00
_cell_angle_gamma 90.00
loop_
_atom_site_label
_atom_site_fract_x
_atom_site_fract_y
_atom_site_fract_z
Cs1 0.000 0.000 0.000
Tl1 0.000 0.000 0.500
Ru1 0.500 0.500 0.500



7.
# CsTlRu3 GGA-PBE optimized geometry
# * magnetization: 0.85 μB per atom
# * volume: 25.116 Å³/atom
# * calculated formation energy: 2.645 eV/atom
# * energy: -3.56 eV per atom
# * energy above the lowest structure with this stoichiometry: 596 meV per atom
data_CsTlRu3
_chemical_formula_sum 'Cs1 Tl1 Ru3'
_space_group_name_H-M_alt 'P m -3 m'
_space_group_IT_number 221
_space_group_name_Hall '-P 4 2 3'
_cell_length_a 5.008
_cell_length_b 5.008
_cell_length_c 5.008
_cell_angle_alpha 90.00
_cell_angle_beta 90.00
_cell_angle_gamma 90.00
loop_
_atom_site_label
_atom_site_fract_x
_atom_site_fract_y
_atom_site_fract_z
Cs1 0.000 0.000 0.000
Tl1 0.500 0.500 0.500
Ru1 0.000 0.000 0.500



8.
# CsTl2RuW GGA-PBE optimized geometry
# * magnetization: 0.93 μB per atom
# * volume: 34.848 Å³/atom
# * calculated formation energy: 1.978 eV/atom
# * energy: -3.58 eV per atom
data_CsTl2RuW
_chemical_formula_sum 'Cs1 Tl2 Ru1 W1'
_space_group_name_H-M_alt 'P 4/m m m'
_space_group_IT_number 123
_space_group_name_Hall '-P 4 2'
_cell_length_a 5.441
_cell_length_b 5.441
_cell_length_c 5.886
_cell_angle_alpha 90.00
_cell_angle_beta 90.00
_cell_angle_gamma 90.00
loop_
_atom_site_label
_atom_site_fract_x
_atom_site_fract_y
_atom_site_fract_z
Cs1 0.000 0.000 0.000
Tl1 0.000 0.500 0.500
Ru1 0.500 0.500 0.000
W1 0.000 0.000 0.500



9.
# CsTl2ZnRu GGA-PBE optimized geometry
# * magnetization: 0.00 μB per atom
# * volume: 29.691 Å³/atom
# * calculated formation energy: 0.075 eV/atom
# * energy: -3.15 eV per atom
data_CsTl2ZnRu
_chemical_formula_sum 'Cs1 Tl2 Zn1 Ru1'
_space_group_name_H-M_alt 'P 4/m m m'
_space_group_IT_number 123
_space_group_name_Hall '-P 4 2'
_cell_length_a 5.391
_cell_length_b 5.391
_cell_length_c 5.108
_cell_angle_alpha 90.00
_cell_angle_beta 90.00
_cell_angle_gamma 90.00
loop_
_atom_site_label
_atom_site_fract_x
_atom_site_fract_y
_atom_site_fract_z
Cs1 0.000 0.000 0.000
Tl1 0.000 0.500 0.500
Zn1 0.500 0.500 0.000
Ru1 0.500 0.500 0.500



10.
# CsV3Ru GGA-PBE optimized geometry
# * magnetization: 0.13 μB per atom
# * volume: 20.404 Å³/atom
# * calculated formation energy: 2.888 eV/atom
# * energy: -4.61 eV per atom
# * energy above the lowest structure with this stoichiometry: 1665 meV per atom
data_CsV3Ru
_chemical_formula_sum 'Cs1 V3 Ru1'
_space_group_name_H-M_alt 'P m -3 m'
_space_group_IT_number 221
_space_group_name_Hall '-P 4 2 3'
_cell_length_a 4.673
_cell_length_b 4.673
_cell_length_c 4.673
_cell_angle_alpha 90.00
_cell_angle_beta 90.00
_cell_angle_gamma 90.00
loop_
_atom_site_label
_atom_site_fract_x
_atom_site_fract_y
_atom_site_fract_z
Cs1 0.000 0.000 0.000
V1 0.000 0.000 0.500
Ru1 0.500 0.500 0.500



11.
# CsV3Ru GGA-PBE optimized geometry
# * magnetization: 1.46 μB per atom
# * volume: 23.923 Å³/atom
# * calculated formation energy: 1.222 eV/atom
# * energy: -6.27 eV per atom
# * energy above the lowest structure with this stoichiometry: 0 meV per atom
data_CsV3Ru
_chemical_formula_sum 'Cs1 V3 Ru1'
_space_group_name_H-M_alt 'P m -3 m'
_space_group_IT_number 221
_space_group_name_Hall '-P 4 2 3'
_cell_length_a 4.927
_cell_length_b 4.927
_cell_length_c 4.927
_cell_angle_alpha 90.00
_cell_angle_beta 90.00
_cell_angle_gamma 90.00
loop_
_atom_site_label
_atom_site_fract_x
_atom_site_fract_y
_atom_site_fract_z
Cs1 0.000 0.000 0.000
V1 0.000 0.500 0.500
Ru1 0.500 0.500 0.500



12.
# Cs2V2Ru GGA-PBE optimized geometry
# * magnetization: 0.42 μB per atom
# * volume: 28.981 Å³/atom
# * calculated formation energy: 1.463 eV/atom
# * energy: -4.38 eV per atom
data_Cs2V2Ru
_chemical_formula_sum 'Cs4 V4 Ru2'
_space_group_name_H-M_alt 'I 4/m m m'
_space_group_IT_number 139
_space_group_name_Hall '-I 4 2'
_cell_length_a 3.347
_cell_length_b 3.347
_cell_length_c 25.864
_cell_angle_alpha 90.00
_cell_angle_beta 90.00
_cell_angle_gamma 90.00
loop_
_atom_site_label
_atom_site_fract_x
_atom_site_fract_y
_atom_site_fract_z
Cs1 0.000 0.000 0.106
V1 0.000 0.500 0.250
Ru1 0.000 0.000 0.500



13.
# CsVRu3 GGA-PBE optimized geometry
# * magnetization: 0.02 μB per atom
# * volume: 23.004 Å³/atom
# * calculated formation energy: 2.915 eV/atom
# * energy: -4.64 eV per atom
# * energy above the lowest structure with this stoichiometry: 1476 meV per atom
data_CsVRu3
_chemical_formula_sum 'Cs1 V1 Ru3'
_space_group_name_H-M_alt 'P m -3 m'
_space_group_IT_number 221
_space_group_name_Hall '-P 4 2 3'
_cell_length_a 4.863
_cell_length_b 4.863
_cell_length_c 4.863
_cell_angle_alpha 90.00
_cell_angle_beta 90.00
_cell_angle_gamma 90.00
loop_
_atom_site_label
_atom_site_fract_x
_atom_site_fract_y
_atom_site_fract_z
Cs1 0.000 0.000 0.000
V1 0.500 0.500 0.500
Ru1 0.000 0.000 0.500



14.
# CsVRu3 GGA-PBE optimized geometry
# * magnetization: 0.67 μB per atom
# * volume: 21.210 Å³/atom
# * calculated formation energy: 1.440 eV/atom
# * energy: -6.12 eV per atom
# * energy above the lowest structure with this stoichiometry: 0 meV per atom
data_CsVRu3
_chemical_formula_sum 'Cs1 V1 Ru3'
_space_group_name_H-M_alt 'P m -3 m'
_space_group_IT_number 221
_space_group_name_Hall '-P 4 2 3'
_cell_length_a 4.733
_cell_length_b 4.733
_cell_length_c 4.733
_cell_angle_alpha 90.00
_cell_angle_beta 90.00
_cell_angle_gamma 90.00
loop_
_atom_site_label
_atom_site_fract_x
_atom_site_fract_y
_atom_site_fract_z
Cs1 0.000 0.000 0.000
V1 0.500 0.500 0.500
Ru1 0.000 0.500 0.500